(1)
The following is a GGA-PBE calculation of a relaxed Tl3GeTe4 crystal, from the Alexandria database.

CIF file:
```
data_Tl3GeTe4
_cell_length_a 9.4872
_cell_length_b 10.1782
_cell_length_c 12.0379
_cell_angle_alpha 90.00
_cell_angle_beta 90.00
_cell_angle_gamma 90.00
_symmetry_space_group_name_H-M 'P 1'
_symmetry_Int_Tables_number 1
loop_
_symmetry_equiv_pos_as_xyz
'x,y,z'
loop_
_atom_site_label
_atom_site_fract_x
_atom_site_fract_y
_atom_site_fract_z
Te1 0.1508 0.9627 0.9327
Te2 0.8492 0.0373 0.4327
Te3 0.5405 0.9262 0.7500
Te4 0.9595 0.4262 0.2500
Te5 0.6715 0.7151 0.2500
Te6 0.1715 0.7849 0.2500
Te7 0.8492 0.0373 0.0673
Te8 0.8285 0.2151 0.7500
Te9 0.1508 0.9627 0.5673
Te10 0.4595 0.0738 0.2500
Te11 0.0405 0.5738 0.7500
Te12 0.6508 0.5373 0.5673
Te13 0.3285 0.2849 0.7500
Te14 0.3492 0.4627 0.0673
Te15 0.3492 0.4627 0.4327
Te16 0.6508 0.5373 0.9327
Ge1 0.7135 0.9695 0.2500
Ge2 0.2865 0.0305 0.7500
Ge3 0.7865 0.4695 0.7500
Ge4 0.2135 0.5305 0.2500
Tl1 0.0828 0.1287 0.2500
Tl2 0.0784 0.3081 0.9385
Tl3 0.4216 0.8081 0.4385
Tl4 0.4216 0.8081 0.0615
Tl5 0.5828 0.3713 0.2500
Tl6 0.9216 0.6919 0.0615
Tl7 0.5784 0.1919 0.9385
Tl8 0.5784 0.1919 0.5615
Tl9 0.9216 0.6919 0.4385
Tl10 0.0784 0.3081 0.5615
Tl11 0.9172 0.8713 0.7500
Tl12 0.4172 0.6287 0.7500
```

Summary:
crystal system	orthorhombic
raw formation energy	-0.167	eV/atom
space-group type	Pnma, No. 62

***

(2)
The following is a GGA-PBE calculation of a relaxed Ge2OsPd crystal, from the Alexandria database.

CIF file:
```
data_Ge2OsPd
_cell_length_a 2.8885
_cell_length_b 2.8885
_cell_length_c 9.1421
_cell_angle_alpha 80.91
_cell_angle_beta 80.91
_cell_angle_gamma 60.00
_symmetry_space_group_name_H-M 'P 1'
_symmetry_Int_Tables_number 1
loop_
_symmetry_equiv_pos_as_xyz
'x,y,z'
loop_
_atom_site_label
_atom_site_fract_x
_atom_site_fract_y
_atom_site_fract_z
Os1 0.0000 0.0000 0.0000
Ge1 0.9091 0.9091 0.2726
Ge2 0.0909 0.0909 0.7274
Pd1 0.5000 0.5000 0.5000
```

Summary:
E_form	96	kJ/mol of formula units
crystal system	trigonal
space-group type	R-3m, No. 166

***

(3)
The following is a GGA-PBE calculation of a relaxed HfRuC2 crystal, from the Alexandria database.

CIF file:
```
data_HfRuC2
_cell_length_a 4.6675
_cell_length_b 4.6675
_cell_length_c 6.0288
_cell_angle_alpha 67.23
_cell_angle_beta 67.23
_cell_angle_gamma 90.00
_symmetry_space_group_name_H-M 'P 1'
_symmetry_Int_Tables_number 1
loop_
_symmetry_equiv_pos_as_xyz
'x,y,z'
loop_
_atom_site_label
_atom_site_fract_x
_atom_site_fract_y
_atom_site_fract_z
Hf1 0.0000 0.0000 0.0000
Hf2 0.7500 0.2500 0.5000
C1 0.3750 0.4181 0.7500
C2 0.8750 0.8319 0.7500
C3 0.5819 0.1250 0.2500
C4 0.1681 0.6250 0.2500
Ru1 0.5000 0.5000 0.0000
Ru2 0.2500 0.7500 0.5000
```

Summary:
E_form	83	kJ/mol of formula units
crystal system	tetragonal
space-group type	I-42d, No. 122

***

no.,excess energy over the best structure of this formula in the dataset (meV per atom)
1,0
2,229
3,0